Compound: La2SiMo
Source: Alexandria
Functional: PBE
Structure: relaxed

Results
Mass density (Mg/m³): 6.326
E_tot (eV for the cell shown): -73.3

The structure in CIF format:
```
data_La2SiMo
_space_group_name_H-M_alt 'R -3 m'
_space_group_IT_number 166
_space_group_name_Hall '-R 3 2"'
_cell_length_a 3.7356
_cell_length_b 3.7356
_cell_length_c 26.1841
_cell_angle_alpha 90.00
_cell_angle_beta 90.00
_cell_angle_gamma 120.00
loop_
_atom_site_label
_atom_site_fract_x
_atom_site_fract_y
_atom_site_fract_z
La1 0.0000 0.0000 0.2495
Si1 0.0000 0.0000 0.0000
Mo1 0.0000 0.0000 0.5000
```